This record from Alexandria via LeMat-Bulk describes a geometry-optimized BeHS2N structure. The functional is PBE.

Unit cell a=4.509 b=4.509 c=3.069 alpha=90.00 beta=90.00 gamma=90.00
Element x y z (fractional)
S 0.500 0.000 0.000
S 0.000 0.500 0.000
H 0.500 0.500 0.500
Be 0.000 0.000 0.000
N 0.000 0.000 0.500

Summary:
* crystal system: tetragonal
* uncorrected energy: -17.67 eV for the cell shown


This record from Alexandria via LeMat-Bulk describes a geometry-optimized Hg12BiPb7 structure. The functional is PBE.

Unit cell a=10.859 b=9.360 c=11.334 alpha=112.35 beta=126.52 gamma=108.09
Element x y z (fractional)
Pb 0.219 0.089 0.426
Pb 0.836 0.546 0.891
Pb 0.500 0.500 0.500
Pb 0.164 0.454 0.109
Pb 0.627 0.757 0.932
Pb 0.373 0.243 0.068
Pb 0.781 0.911 0.574
Hg 0.913 0.351 0.673
Hg 0.917 0.094 0.426
Hg 0.598 0.023 0.697
Hg 0.355 0.862 0.981
Hg 0.865 0.586 0.560
Hg 0.087 0.649 0.327
Hg 0.083 0.906 0.574
Hg 0.135 0.414 0.440
Hg 0.645 0.138 0.019
Hg 0.402 0.977 0.303
Hg 0.414 0.587 0.038
Hg 0.586 0.413 0.962
Bi 0.000 0.000 0.000

Summary:
* DFT formation energy: 0.05 eV per atom
* crystal system: triclinic
* uncorrected energy: -32.53 eV for the cell shown


This record from Alexandria via LeMat-Bulk describes a geometry-optimized CeSmDy structure. The functional is PBE.

Unit cell a=3.535 b=3.535 c=8.694 alpha=90.00 beta=90.00 gamma=120.00
Element x y z (fractional)
Dy 0.667 0.333 0.340
Ce 0.333 0.667 0.665
Sm 0.000 0.000 0.995

Summary:
* DFT formation energy: 0.07 eV per atom
* crystal system: trigonal
* uncorrected energy: -15.04 eV for the cell shown


This record from Alexandria via LeMat-Bulk describes a geometry-optimized DyZrAgRu structure. The functional is PBE.

Unit cell a=4.853 b=4.853 c=4.853 alpha=60.00 beta=60.00 gamma=60.00
Element x y z (fractional)
Ru 0.750 0.750 0.750
Zr 0.500 0.500 0.500
Dy 0.000 0.000 0.000
Ag 0.250 0.250 0.250

Summary:
* DFT formation energy: -0.26 eV per atom
* crystal system: cubic
* uncorrected energy: -26.31 eV for the cell shown


This record from Alexandria via LeMat-Bulk describes a geometry-optimized AlTl2SiS4 structure. The functional is PBE.

Unit cell a=5.742 b=6.872 c=13.381 alpha=84.86 beta=77.61 gamma=65.31
Element x y z (fractional)
S 0.593 0.193 0.090
S 0.214 0.193 0.910
S 0.874 0.693 0.590
S 0.317 0.807 0.090
S 0.157 0.307 0.410
S 0.876 0.807 0.910
S 0.536 0.307 0.590
S 0.433 0.693 0.410
Tl 0.890 0.500 0.220
Tl 0.610 0.500 0.780
Tl 0.140 0.000 0.720
Tl 0.860 0.000 0.280
Al 0.000 0.000 0.000
Al 0.750 0.500 0.500
Si 0.250 0.500 0.500
Si 0.500 0.000 0.000

Summary:
* energy relative to the elements, uncorrected: -494 kJ/mol of formula units
* crystal system: orthorhombic
* uncorrected energy: -71.05 eV for the cell shown


This record from Alexandria via LeMat-Bulk describes a geometry-optimized Ba6LiNi2 structure. The functional is PBE.

Unit cell a=10.008 b=10.008 c=10.008 alpha=108.39 beta=111.42 gamma=108.62
Element x y z (fractional)
Li 0.000 0.000 0.000
Li 0.000 0.500 0.500
Ni 0.500 0.101 0.601
Ni 0.601 0.601 0.000
Ni 0.500 0.899 0.399
Ni 0.399 0.399 0.000
Ba 0.791 0.583 0.792
Ba 0.688 0.320 0.009
Ba 0.128 0.820 0.308
Ba 0.209 0.001 0.792
Ba 0.209 0.417 0.208
Ba 0.312 0.320 0.632
Ba 0.488 0.180 0.308
Ba 0.512 0.820 0.692
Ba 0.312 0.680 0.991
Ba 0.872 0.180 0.692
Ba 0.688 0.680 0.368
Ba 0.791 0.999 0.208

Summary:
* DFT formation energy: 0.04 eV per atom
* crystal system: orthorhombic
* uncorrected energy: -49.38 eV for the cell shown


This record from Alexandria via LeMat-Bulk describes a geometry-optimized PrZrNi2 structure. The functional is PBE.

Unit cell a=3.281 b=4.805 c=4.805 alpha=90.00 beta=90.00 gamma=90.00
Element x y z (fractional)
Ni 0.000 0.500 0.000
Ni 0.000 0.000 0.500
Zr 0.500 0.000 0.000
Pr 0.500 0.500 0.500

Summary:
* DFT formation energy: -0.16 eV per atom
* crystal system: tetragonal
* uncorrected energy: -25.55 eV for the cell shown


This record from Alexandria via LeMat-Bulk describes a geometry-optimized La12Pm2Pr5 structure. The functional is PBE.

Unit cell a=7.646 b=11.309 c=10.276 alpha=58.45 beta=90.00 gamma=109.76
Element x y z (fractional)
La 0.592 0.685 0.469
La 0.489 0.978 0.670
La 0.933 0.334 0.164
La 0.908 0.315 0.531
La 0.010 0.020 0.196
La 0.511 0.022 0.330
La 0.990 0.980 0.804
La 0.092 0.685 0.469
La 0.599 0.666 0.836
La 0.067 0.666 0.836
La 0.408 0.315 0.531
La 0.401 0.334 0.164
Pr 0.176 0.352 0.812
Pr 0.679 0.358 0.840
Pr 0.824 0.648 0.188
Pr 0.000 0.000 0.500
Pr 0.321 0.642 0.160
Pm 0.300 0.000 0.000
Pm 0.700 0.000 0.000

Summary:
* DFT formation energy: 0.14 eV per atom
* crystal system: monoclinic
* uncorrected energy: -89.83 eV for the cell shown


This record from Alexandria via LeMat-Bulk describes a geometry-optimized Ta2SiMo structure. The functional is PBE.

Unit cell a=9.585 b=9.585 c=9.585 alpha=17.15 beta=17.15 gamma=17.15
Element x y z (fractional)
Mo 0.250 0.250 0.250
Ta 0.495 0.495 0.495
Ta 0.005 0.005 0.005
Si 0.750 0.750 0.750

Summary:
* energy relative to the elements, uncorrected: 61 kJ/mol of formula units
* crystal system: trigonal
* uncorrected energy: -39.33 eV for the cell shown


Calculated DOS at the Fermi energy (states/eV/f.u.), listed in the same order as above: 3.36; 7.44; 6.69; 3.47; 1.32; 9.45; 4.55; 32.17; 3.70
Calculated V (Å³/cell), listed in the same order as above: 62.4; 592.3; 94.1; 80.8; 468.6; 771.1; 75.8; 695.1; 66.8